No. 1
A relaxed structure of ErAlPt2, computed with PBE-GGA.

Structure (POSCAR):
```
ErAlPt2
1.0
-3.294 -0.131 0.440
0.351 -2.774 1.802
0.573 3.544 5.344
Er Pt Al
1 2 1
Direct
0.500 0.500 0.500 Er
0.000 0.000 0.219 Pt
0.000 0.000 0.781 Pt
0.500 0.500 0.000 Al
```

Output
**E_tot**: -6.156 eV per atom
**Volume**: 71.2 Å³/cell
**Crystal system**: tetragonal
**Magnetic moment**: 0.00 μB/atom

No. 2
A relaxed structure of ErAlPt, computed with PBE-GGA.

Structure (POSCAR):
```
ErAlPt
1.0
3.630 0.000 0.000
0.000 4.389 0.000
0.000 -2.194 3.801
Er Pt Al
1 1 1
Direct
0.667 0.667 0.333 Er
0.167 0.000 0.000 Pt
0.167 0.333 0.667 Al
```

Output
**E_tot**: -5.817 eV per atom
**Volume**: 60.5 Å³/cell
**Crystal system**: hexagonal
**Magnetic moment**: 0.00 μB/atom

No. 3
A relaxed structure of ErAlPt2, computed with PBE-GGA.

Structure (POSCAR):
```
ErAlPt2
1.0
5.739 0.000 0.000
0.000 7.088 0.000
0.000 0.000 7.163
Er Pt Al
4 8 4
Direct
0.348 0.250 0.024 Er
0.652 0.750 0.976 Er
0.848 0.750 0.476 Er
0.152 0.250 0.524 Er
0.418 0.950 0.311 Pt
0.082 0.550 0.811 Pt
0.418 0.550 0.311 Pt
0.082 0.950 0.811 Pt
0.582 0.450 0.689 Pt
0.582 0.050 0.689 Pt
0.918 0.050 0.189 Pt
0.918 0.450 0.189 Pt
0.853 0.250 0.887 Al
0.353 0.750 0.613 Al
0.147 0.750 0.113 Al
0.647 0.250 0.387 Al
```

Output
**E_tot**: -6.280 eV per atom
**Volume**: 291.4 Å³/cell
**Crystal system**: orthorhombic
**Magnetic moment**: 0.00 μB/atom

No. 4
A relaxed structure of ErAlPt5, computed with PBE-GGA.

Structure (POSCAR):
```
ErAlPt5
1.0
4.055 0.000 0.000
0.000 4.055 0.000
0.000 0.000 7.254
Pt Al Er
5 1 1
Direct
0.500 0.500 0.500 Pt
0.000 0.500 0.209 Pt
0.500 0.000 0.791 Pt
0.500 0.000 0.209 Pt
0.000 0.500 0.791 Pt
0.500 0.500 0.000 Al
0.000 0.000 0.500 Er
```

Output
**E_tot**: -6.411 eV per atom
**Volume**: 119.3 Å³/cell
**Crystal system**: tetragonal
**Magnetic moment**: 0.00 μB/atom

No. 5
A relaxed structure of Er8AlPt2, computed with PBE-GGA.

Structure (POSCAR):
```
Er8AlPt2
1.0
0.716 -4.207 -3.257
2.132 -3.431 6.824
-7.838 0.828 -0.868
Er Pt Al
8 2 1
Direct
0.000 0.763 0.243 Er
0.808 0.619 0.619 Er
0.000 0.243 0.763 Er
0.579 0.081 0.330 Er
0.192 0.388 0.388 Er
0.421 0.676 0.925 Er
0.579 0.330 0.081 Er
0.421 0.925 0.676 Er
0.500 0.696 0.310 Pt
0.500 0.310 0.696 Pt
0.001 0.003 0.003 Al
```

Output
**E_tot**: -5.246 eV per atom
**Volume**: 297.1 Å³/cell
**Crystal system**: monoclinic
**Magnetic moment**: 0.02 μB/atom

No. 6
A relaxed structure of ErAlPt, computed with PBE-GGA.

Structure (POSCAR):
```
ErAlPt
1.0
-4.120 1.309 0.846
-2.103 -2.836 -5.852
-1.354 -6.658 3.712
Pt Al Er
4 4 4
Direct
0.250 0.771 0.116 Pt
0.750 0.729 0.616 Pt
0.250 0.271 0.384 Pt
0.750 0.229 0.884 Pt
0.750 0.853 0.936 Al
0.250 0.147 0.064 Al
0.250 0.647 0.436 Al
0.750 0.353 0.564 Al
0.750 0.472 0.182 Er
0.250 0.528 0.818 Er
0.250 0.028 0.682 Er
0.750 0.972 0.318 Er
```

Output
**E_tot**: -5.964 eV per atom
**Volume**: 233.1 Å³/cell
**Crystal system**: orthorhombic
**Magnetic moment**: 0.00 μB/atom

No. 7
A relaxed structure of Er3Al8Pt3, computed with PBE-GGA.

Structure (POSCAR):
```
Er3Al8Pt3
1.0
4.205 0.000 1.109
1.439 7.348 3.070
0.101 -0.373 8.142
Al Pt Er
8 3 3
Direct
0.349 0.020 0.282 Al
0.151 0.565 0.133 Al
0.849 0.435 0.867 Al
0.504 0.662 0.329 Al
0.651 0.980 0.718 Al
0.863 0.846 0.428 Al
0.496 0.338 0.671 Al
0.137 0.154 0.572 Al
0.000 0.500 0.500 Pt
0.646 0.714 0.995 Pt
0.354 0.286 0.005 Pt
0.000 0.000 0.000 Er
0.714 0.282 0.290 Er
0.286 0.718 0.710 Er
```

Output
**E_tot**: -5.267 eV per atom
**Volume**: 254.9 Å³/cell
**Crystal system**: monoclinic
**Magnetic moment**: 0.00 μB/atom

No. 8
A relaxed structure of Er8Al2Pt, computed with PBE-GGA.

Structure (POSCAR):
```
Er8Al2Pt
1.0
-4.373 2.143 0.936
1.000 -0.761 6.415
5.883 7.241 -2.235
Er Al Pt
8 2 1
Direct
0.408 0.546 0.816 Er
0.787 0.689 0.574 Er
0.349 0.022 0.699 Er
0.976 0.222 0.953 Er
0.651 0.978 0.301 Er
0.024 0.778 0.047 Er
0.213 0.311 0.426 Er
0.592 0.454 0.184 Er
0.813 0.245 0.626 Al
0.187 0.755 0.374 Al
0.500 0.000 0.000 Pt
```

Output
**E_tot**: -4.921 eV per atom
**Volume**: 292.3 Å³/cell
**Crystal system**: monoclinic
**Magnetic moment**: 0.00 μB/atom

No. 9
A relaxed structure of Er6AlPt2, computed with PBE-GGA.

Structure (POSCAR):
```
Er6AlPt2
1.0
-0.065 -7.423 -3.983
0.075 -0.789 8.387
-6.991 4.416 -1.607
Er Pt Al
12 4 2
Direct
0.301 0.631 0.331 Er
0.533 0.714 0.819 Er
0.467 0.286 0.181 Er
0.196 0.238 0.434 Er
0.196 0.762 0.958 Er
0.301 0.970 0.669 Er
0.699 0.369 0.669 Er
0.699 0.030 0.331 Er
0.804 0.238 0.042 Er
0.895 0.714 0.181 Er
0.804 0.762 0.566 Er
0.105 0.286 0.819 Er
0.500 0.635 0.135 Pt
0.500 0.365 0.865 Pt
0.666 0.000 0.666 Pt
0.334 0.000 0.334 Pt
0.000 0.000 0.000 Al
0.000 0.500 0.500 Al
```

Output
**E_tot**: -5.536 eV per atom
**Volume**: 457.3 Å³/cell
**Crystal system**: orthorhombic
**Magnetic moment**: 0.00 μB/atom

No. 10
A relaxed structure of ErAl2Pt9, computed with PBE-GGA.

Structure (POSCAR):
```
ErAl2Pt9
1.0
3.996 0.000 0.000
0.000 3.996 0.000
0.000 0.000 11.867
Pt Er Al
9 1 2
Direct
0.500 0.000 0.821 Pt
0.500 0.500 0.660 Pt
0.000 0.500 0.821 Pt
0.500 0.000 0.179 Pt
0.000 0.500 0.179 Pt
0.000 0.500 0.500 Pt
0.500 0.500 0.000 Pt
0.500 0.000 0.500 Pt
0.500 0.500 0.340 Pt
0.000 0.000 0.000 Er
0.000 0.000 0.338 Al
0.000 0.000 0.662 Al
```

Output
**E_tot**: -6.343 eV per atom
**Volume**: 189.5 Å³/cell
**Crystal system**: tetragonal
**Magnetic moment**: 0.00 μB/atom

No. 11
A relaxed structure of ErAl2Pt5, computed with PBE-GGA.

Structure (POSCAR):
```
ErAl2Pt5
1.0
3.827 0.000 0.000
1.913 6.173 0.525
1.913 1.650 5.971
Pt Er Al
5 1 2
Direct
0.360 0.846 0.435 Pt
0.640 0.154 0.565 Pt
0.000 0.500 0.500 Pt
0.360 0.435 0.846 Pt
0.640 0.565 0.154 Pt
0.000 0.000 0.000 Er
0.758 0.742 0.742 Al
0.242 0.258 0.258 Al
```

Output
**E_tot**: -6.221 eV per atom
**Volume**: 137.7 Å³/cell
**Crystal system**: orthorhombic
**Magnetic moment**: 0.00 μB/atom

No. 12
A relaxed structure of ErAl12Pt4, computed with PBE-GGA.

Structure (POSCAR):
```
ErAl12Pt4
1.0
-3.924 -3.244 5.646
-0.461 -4.339 -6.226
7.284 0.712 2.059
Al Er Pt
12 1 4
Direct
0.660 0.503 0.843 Al
0.660 0.817 0.157 Al
0.340 0.183 0.843 Al
0.503 0.843 0.660 Al
0.817 0.157 0.660 Al
0.157 0.660 0.817 Al
0.340 0.497 0.157 Al
0.497 0.157 0.340 Al
0.843 0.340 0.183 Al
0.157 0.340 0.497 Al
0.183 0.843 0.340 Al
0.843 0.660 0.503 Al
0.000 0.000 0.000 Er
0.000 0.500 0.000 Pt
0.000 0.000 0.500 Pt
0.500 0.000 0.000 Pt
0.500 0.500 0.500 Pt
```

Output
**E_tot**: -4.674 eV per atom
**Volume**: 338.3 Å³/cell
**Crystal system**: cubic
**Magnetic moment**: 0.00 μB/atom

No. 13
A relaxed structure of Er2AlPt6, computed with PBE-GGA.

Structure (POSCAR):
```
Er2AlPt6
1.0
-3.227 1.848 0.863
-3.602 -6.696 0.870
4.940 2.370 5.031
Pt Er Al
6 2 1
Direct
0.165 0.388 0.331 Pt
0.835 0.612 0.669 Pt
0.500 0.211 0.000 Pt
0.835 0.057 0.669 Pt
0.500 0.789 0.000 Pt
0.165 0.943 0.331 Pt
0.651 0.651 0.302 Er
0.349 0.349 0.698 Er
0.000 0.000 0.000 Al
```

Output
**E_tot**: -6.323 eV per atom
**Volume**: 178.0 Å³/cell
**Crystal system**: monoclinic
**Magnetic moment**: 0.00 μB/atom

No. 14
A relaxed structure of ErAlPt, computed with PBE-GGA.

Structure (POSCAR):
```
ErAlPt
1.0
7.138 -0.123 0.000
-2.823 6.557 0.000
-2.158 -3.217 5.514
Al Pt Er
4 4 4
Direct
0.872 0.872 0.744 Al
0.378 0.878 0.756 Al
0.128 0.128 0.256 Al
0.122 0.622 0.244 Al
0.428 0.572 0.500 Pt
0.178 0.822 0.000 Pt
0.822 0.178 0.000 Pt
0.072 0.928 0.500 Pt
0.625 0.375 0.750 Er
0.625 0.375 0.250 Er
0.625 0.875 0.250 Er
0.125 0.375 0.750 Er
```

Output
**E_tot**: -5.666 eV per atom
**Volume**: 256.2 Å³/cell
**Crystal system**: orthorhombic
**Magnetic moment**: 0.00 μB/atom

No. 15
A relaxed structure of Er4Al24Pt9, computed with PBE-GGA.

Structure (POSCAR):
```
Er4Al24Pt9
1.0
7.515 -0.005 0.002
-3.742 6.513 0.004
-2.493 0.006 12.920
Pt Al Er
9 24 4
Direct
0.454 0.675 0.363 Pt
0.546 0.325 0.637 Pt
0.000 0.000 0.000 Pt
0.671 0.328 0.000 Pt
0.112 0.992 0.361 Pt
0.796 0.333 0.361 Pt
0.204 0.667 0.639 Pt
0.329 0.672 0.000 Pt
0.888 0.008 0.639 Pt
0.117 0.334 0.328 Al
0.316 0.332 0.952 Al
0.814 0.001 0.441 Al
0.191 0.130 0.184 Al
0.186 0.999 0.559 Al
0.883 0.666 0.672 Al
0.147 0.667 0.441 Al
0.684 0.668 0.048 Al
0.982 0.666 0.944 Al
0.397 0.542 0.184 Al
0.443 0.006 0.328 Al
0.602 0.336 0.183 Al
0.018 0.334 0.056 Al
0.770 0.660 0.330 Al
0.648 0.001 0.944 Al
0.352 0.999 0.056 Al
0.809 0.870 0.816 Al
0.479 0.332 0.439 Al
0.853 0.333 0.559 Al
0.398 0.664 0.817 Al
0.603 0.458 0.816 Al
0.230 0.340 0.670 Al
0.557 0.994 0.672 Al
0.521 0.668 0.561 Al
0.732 0.999 0.191 Er
0.268 0.001 0.809 Er
0.062 0.668 0.191 Er
0.938 0.332 0.809 Er
```

Output
**E_tot**: -5.304 eV per atom
**Volume**: 632.2 Å³/cell
**Crystal system**: triclinic
**Magnetic moment**: 0.00 μB/atom

No. 16
A relaxed structure of Er2AlPt3, computed with PBE-GGA.

Structure (POSCAR):
```
Er2AlPt3
1.0
4.732 0.036 2.264
1.441 4.507 2.264
0.049 0.036 5.245
Pt Er Al
3 2 1
Direct
0.500 0.000 0.000 Pt
0.000 0.000 0.500 Pt
0.000 0.500 0.000 Pt
0.373 0.373 0.373 Er
0.627 0.627 0.627 Er
0.000 0.000 0.000 Al
```

Output
**E_tot**: -6.366 eV per atom
**Volume**: 110.8 Å³/cell
**Crystal system**: trigonal
**Magnetic moment**: 0.00 μB/atom

No. 17
A relaxed structure of ErAlPt3, computed with PBE-GGA.

Structure (POSCAR):
```
ErAlPt3
1.0
5.066 0.000 0.000
0.000 6.020 0.000
0.000 0.000 6.465
Al Er Pt
2 2 6
Direct
0.000 0.500 0.000 Al
0.000 0.000 0.500 Al
0.500 0.000 0.000 Er
0.500 0.500 0.500 Er
0.000 0.642 0.343 Pt
0.000 0.142 0.157 Pt
0.000 0.858 0.843 Pt
0.500 0.000 0.500 Pt
0.500 0.500 0.000 Pt
0.000 0.358 0.657 Pt
```

Output
**E_tot**: -6.021 eV per atom
**Volume**: 197.2 Å³/cell
**Crystal system**: orthorhombic
**Magnetic moment**: 0.00 μB/atom

No. 18
A relaxed structure of ErAlPt2, computed with PBE-GGA.

Structure (POSCAR):
```
ErAlPt2
1.0
3.399 0.000 0.000
0.000 4.582 0.000
0.000 0.000 4.582
Pt Al Er
2 1 1
Direct
0.000 0.000 0.500 Pt
0.000 0.500 0.000 Pt
0.500 0.000 0.000 Al
0.500 0.500 0.500 Er
```

Output
**E_tot**: -6.104 eV per atom
**Volume**: 71.4 Å³/cell
**Crystal system**: tetragonal
**Magnetic moment**: 0.00 μB/atom

No. 19
A relaxed structure of Er2Al4Pt3Rh, computed with PBE-GGA.

Structure (POSCAR):
```
Er2Al4Pt3Rh
1.0
-1.141 -3.123 2.517
-0.593 -2.457 -3.318
9.944 -3.173 0.572
Al Pt Er Rh
4 3 2 1
Direct
0.000 0.500 0.373 Al
0.500 0.500 0.000 Al
0.000 0.000 0.000 Al
0.500 0.000 0.627 Al
0.000 0.000 0.500 Pt
0.500 0.000 0.862 Pt
0.000 0.500 0.138 Pt
0.500 0.000 0.255 Er
0.000 0.500 0.745 Er
0.500 0.500 0.500 Rh
```

Output
**E_tot**: -6.051 eV per atom
**Volume**: 181.9 Å³/cell
**Crystal system**: tetragonal
**Magnetic moment**: 0.00 μB/atom

No. 20
A relaxed structure of ErAlRuPt, computed with PBE-GGA.

Structure (POSCAR):
```
ErAlRuPt
1.0
4.569 0.000 0.000
2.284 3.957 0.000
2.284 1.319 3.730
Er Pt Al Ru
1 1 1 1
Direct
0.750 0.750 0.750 Er
0.000 0.000 0.000 Pt
0.250 0.250 0.250 Al
0.500 0.500 0.500 Ru
```

Output
**E_tot**: -6.696 eV per atom
**Volume**: 67.4 Å³/cell
**Crystal system**: cubic
**Magnetic moment**: 0.00 μB/atom

No. 21
A relaxed structure of ErSc2AlPt4, computed with PBE-GGA.

Structure (POSCAR):
```
ErSc2AlPt4
1.0
4.587 0.000 0.000
2.294 3.973 0.000
2.294 1.324 7.917
Pt Al Sc Er
4 1 2 1
Direct
0.608 0.608 0.177 Pt
0.871 0.871 0.388 Pt
0.392 0.392 0.823 Pt
0.129 0.129 0.612 Pt
0.500 0.500 0.500 Al
0.755 0.755 0.735 Sc
0.245 0.245 0.265 Sc
0.000 0.000 0.000 Er
```

Output
**E_tot**: -6.820 eV per atom
**Volume**: 144.3 Å³/cell
**Crystal system**: trigonal
**Magnetic moment**: 0.00 μB/atom